Compound: Li2SbPbBr8
Source: the Alexandria database
Functional: PBE
Structure: optimized geometry

Results
Space group: No. 2
Total DFT energy (no corrections): -2.965 eV per atom

```
Li2SbPbBr8
1.0
-1.424 4.256 5.230
-1.996 -5.948 2.807
7.810 -1.379 3.027
Li Sb Pb Br
2 1 1 8
Cartesian
4.228 -1.411 6.432
0.162 -1.659 4.633
0.000 0.000 0.000
3.905 -0.689 1.514
-0.014 -4.312 4.002
-2.342 -1.166 5.512
0.247 2.033 5.478
4.403 1.243 7.062
6.732 -1.903 5.552
4.142 -5.102 5.586
1.598 -1.824 6.932
2.791 -1.245 4.133
```

=====

Compound: AgHg2As
Source: the Alexandria database
Functional: PBE
Structure: optimized geometry

Results
E_form: 0.20 eV per atom
Space group: No. 99
Total DFT energy (no corrections): -1.823 eV per atom

```
AgHg2As
1.0
3.804 0.000 0.000
0.000 3.804 0.000
0.000 0.000 6.546
As Hg Ag
1 2 1
Cartesian
1.902 1.902 4.306
0.000 0.000 0.131
1.902 1.902 1.590
0.000 0.000 3.792
```

=====

Compound: Pm2AlSn3Pd4
Source: the Alexandria database
Functional: PBE
Structure: optimized geometry

Results
E_form: -0.79 eV per atom
Space group: No. 115
Total DFT energy (no corrections): -5.390 eV per atom

```
Pm2AlSn3Pd4
1.0
4.489 0.000 0.000
0.000 4.489 0.000
0.000 0.000 10.759
Pm Al Sn Pd
2 1 3 4
Cartesian
2.244 0.000 2.698
0.000 2.244 8.061
2.244 2.244 5.379
0.000 0.000 5.379
2.244 0.000 9.325
0.000 2.244 1.434
2.244 2.244 0.000
0.000 0.000 0.000
2.244 0.000 6.726
0.000 2.244 4.033
```

=====

Compound: HoPuRuRh
Source: the Alexandria database
Functional: PBE
Structure: optimized geometry

Results
E_form: -0.45 eV per atom
Space group: No. 216
Total DFT energy (no corrections): -9.336 eV per atom

```
HoPuRuRh
1.0
-4.499 -0.907 -1.421
-0.801 -2.959 -3.700
-1.933 -4.332 0.763
Ru Rh Ho Pu
1 1 1 1
Cartesian
-1.808 -2.049 -1.090
-5.425 -6.148 -3.269
-3.617 -4.099 -2.179
0.000 0.000 0.000
```